# 1
A plane-wave DFT calculation with PBE-GGA was carried out for CaZn2P2O10 after structural relaxation.

```
data_CaZn2P2O10
_cell_length_a 16.647
_cell_length_b 7.559
_cell_length_c 6.780
_cell_angle_alpha 90.00
_cell_angle_beta 90.00
_cell_angle_gamma 90.00
_symmetry_space_group_name_H-M 'P b c n'
_symmetry_Int_Tables_number 60
loop_
_symmetry_equiv_pos_as_xyz
'x,y,z'
'-x,-y,-z'
'-x+1/2,-y+1/2,z+1/2'
'x+1/2,y+1/2,-z+1/2'
'x+1/2,-y+1/2,-z'
'-x+1/2,y+1/2,z'
'-x,y,-z+1/2'
'x,-y,z+1/2'
loop_
_atom_site_label
_atom_site_type_symbol
_atom_site_fract_x
_atom_site_fract_y
_atom_site_fract_z
_atom_site_occupancy
Ca1 Ca 0.000 0.113 0.250 1
Zn1 Zn 0.214 0.489 0.216 1
P1 P 0.149 0.179 0.961 1
O1 O 0.023 0.439 0.479 1
O2 O 0.074 0.062 0.955 1
O3 O 0.143 0.286 0.158 1
O4 O 0.155 0.295 0.776 1
O5 O 0.227 0.058 0.969 1
```

Formation energy without anion corrections (eV per atom): -1.94


# 2
A plane-wave DFT calculation with PBE-GGA was carried out for Sc2Tl2Ga after structural relaxation.

```
data_Sc2Tl2Ga
_cell_length_a 7.302
_cell_length_b 7.302
_cell_length_c 4.393
_cell_angle_alpha 90.00
_cell_angle_beta 90.00
_cell_angle_gamma 90.00
_symmetry_space_group_name_H-M 'P 4/m b m'
_symmetry_Int_Tables_number 127
_symmetry_space_group_name_Hall '-P 4 2ab'
loop_
_atom_site_label
_atom_site_type_symbol
_atom_site_fract_x
_atom_site_fract_y
_atom_site_fract_z
_atom_site_occupancy
Sc1 Sc 0.165 0.335 0.000 1
Tl1 Tl 0.142 0.642 0.500 1
Ga1 Ga 0.000 0.000 0.500 1
```

E_form (eV/atom): -0.134
Fermi-level density of states (states/eV per cell): 6.566
Distance to the lowest polymorph of the same formula (kcal/mol of atoms): 0.73


Number 1: total magnetization 2.0 μB per formula unit, VASP energy -6.269 eV/atom. Number 2: total magnetization 0.0 μB per formula unit, VASP energy -4.219 eV/atom.